Model one:
# LaSiTc3 GGA-PBE relaxed
data_LaSiTc3
_cell_length_a 4.8200
_cell_length_b 4.8200
_cell_length_c 4.8200
_cell_angle_alpha 90.00
_cell_angle_beta 90.00
_cell_angle_gamma 90.00
_space_group_name_H-M_alt 'P 1'
_space_group_IT_number 1
_space_group_name_Hall 'P 1'
loop_
_atom_site_label
_atom_site_fract_x
_atom_site_fract_y
_atom_site_fract_z
La1 0.0000 0.0000 0.0000
Si1 0.5000 0.5000 0.5000
Tc1 0.0000 0.0000 0.5000
Tc2 0.0000 0.5000 0.0000
Tc3 0.5000 0.0000 0.0000
# - magnetization (μB per atom) = 0.81
# - Fermi-level density of states (states/eV per cell) = 8.7

=====

Model two:
# LaSiTc3 GGA-PBE relaxed
data_LaSiTc3
_cell_length_a 4.5917
_cell_length_b 4.5917
_cell_length_c 4.5917
_cell_angle_alpha 90.00
_cell_angle_beta 90.00
_cell_angle_gamma 90.00
_space_group_name_H-M_alt 'P 1'
_space_group_IT_number 1
_space_group_name_Hall 'P 1'
loop_
_atom_site_label
_atom_site_fract_x
_atom_site_fract_y
_atom_site_fract_z
La1 0.0000 0.0000 0.0000
Si1 0.5000 0.5000 0.5000
Tc1 0.0000 0.5000 0.5000
Tc2 0.5000 0.0000 0.5000
Tc3 0.5000 0.5000 0.0000
# - magnetization (μB per atom) = 0.49
# - Fermi-level density of states (states/eV per cell) = 4.3

=====

In meV per atom, relative to the most stable structure: model one 1976; model two 0.

=====

Model one:
# La2SiTe GGA-PBE relaxed
data_La2SiTe
_cell_length_a 7.9170
_cell_length_b 7.9170
_cell_length_c 7.9170
_cell_angle_alpha 32.82
_cell_angle_beta 32.82
_cell_angle_gamma 32.82
_space_group_name_H-M_alt 'P 1'
_space_group_IT_number 1
_space_group_name_Hall 'P 1'
loop_
_atom_site_label
_atom_site_fract_x
_atom_site_fract_y
_atom_site_fract_z
La1 0.2413 0.2413 0.2413
La2 0.7587 0.7587 0.7587
Si1 0.5000 0.5000 0.5000
Te1 0.0000 0.0000 0.0000
# - magnetization (μB per atom) = 0.00
# - Fermi-level density of states (states/eV per cell) = 1.8

=====

Model two:
# La2SiTe GGA-PBE relaxed
data_La2SiTe
_cell_length_a 3.7891
_cell_length_b 3.7891
_cell_length_c 8.0669
_cell_angle_alpha 90.00
_cell_angle_beta 90.00
_cell_angle_gamma 96.79
_space_group_name_H-M_alt 'P 1'
_space_group_IT_number 1
_space_group_name_Hall 'P 1'
loop_
_atom_site_label
_atom_site_fract_x
_atom_site_fract_y
_atom_site_fract_z
La1 0.0000 0.0000 0.2301
La2 0.0000 0.0000 0.7699
Si1 0.5000 0.5000 0.0000
Te1 0.5000 0.5000 0.5000
# - magnetization (μB per atom) = 0.00
# - Fermi-level density of states (states/eV per cell) = 2.7

=====

Model three:
# La2SiTe GGA-PBE relaxed
data_La2SiTe
_cell_length_a 3.8631
_cell_length_b 3.7994
_cell_length_c 7.9286
_cell_angle_alpha 90.00
_cell_angle_beta 95.17
_cell_angle_gamma 90.00
_space_group_name_H-M_alt 'P 1'
_space_group_IT_number 1
_space_group_name_Hall 'P 1'
loop_
_atom_site_label
_atom_site_fract_x
_atom_site_fract_y
_atom_site_fract_z
La1 0.0647 0.0000 0.2688
La2 0.9353 0.0000 0.7312
Si1 0.5000 0.5000 0.5000
Te1 0.5000 0.5000 0.0000
# - magnetization (μB per atom) = 0.00
# - Fermi-level density of states (states/eV per cell) = 1.5

=====

In meV per atom, relative to the most stable structure: model one 0; model two 233; model three 217.

=====

Model one:
# LaSi3Te GGA-PBE relaxed
data_LaSi3Te
_cell_length_a 5.5639
_cell_length_b 5.5639
_cell_length_c 5.5639
_cell_angle_alpha 90.00
_cell_angle_beta 90.00
_cell_angle_gamma 90.00
_space_group_name_H-M_alt 'P 1'
_space_group_IT_number 1
_space_group_name_Hall 'P 1'
loop_
_atom_site_label
_atom_site_fract_x
_atom_site_fract_y
_atom_site_fract_z
La1 0.0000 0.0000 0.0000
Si1 0.0000 0.0000 0.5000
Si2 0.0000 0.5000 0.0000
Si3 0.5000 0.0000 0.0000
Te1 0.5000 0.5000 0.5000
# - magnetization (μB per atom) = 0.00
# - Fermi-level density of states (states/eV per cell) = 6.1

=====

Model two:
# LaSi3Te GGA-PBE relaxed
data_LaSi3Te
_cell_length_a 5.1570
_cell_length_b 5.1570
_cell_length_c 5.1570
_cell_angle_alpha 90.00
_cell_angle_beta 90.00
_cell_angle_gamma 90.00
_space_group_name_H-M_alt 'P 1'
_space_group_IT_number 1
_space_group_name_Hall 'P 1'
loop_
_atom_site_label
_atom_site_fract_x
_atom_site_fract_y
_atom_site_fract_z
La1 0.0000 0.0000 0.0000
Si1 0.0000 0.5000 0.5000
Si2 0.5000 0.0000 0.5000
Si3 0.5000 0.5000 0.0000
Te1 0.5000 0.5000 0.5000
# - magnetization (μB per atom) = 0.00
# - Fermi-level density of states (states/eV per cell) = 6.0

=====

In meV per atom, relative to the most stable structure: model one 663; model two 0.

=====

Model one:
# LaSiTe GGA-PBE relaxed
data_LaSiTe
_cell_length_a 3.7581
_cell_length_b 3.7581
_cell_length_c 6.7650
_cell_angle_alpha 90.00
_cell_angle_beta 90.00
_cell_angle_gamma 120.00
_space_group_name_H-M_alt 'P 1'
_space_group_IT_number 1
_space_group_name_Hall 'P 1'
loop_
_atom_site_label
_atom_site_fract_x
_atom_site_fract_y
_atom_site_fract_z
La1 0.0000 0.0000 0.0000
Si1 0.6667 0.3333 0.3524
Te1 0.3333 0.6667 0.6163
# - magnetization (μB per atom) = 0.00
# - Fermi-level density of states (states/eV per cell) = 3.6

=====

Model two:
# LaSiTe GGA-PBE relaxed
data_LaSiTe
_cell_length_a 4.7951
_cell_length_b 4.7951
_cell_length_c 4.0761
_cell_angle_alpha 90.00
_cell_angle_beta 90.00
_cell_angle_gamma 120.00
_space_group_name_H-M_alt 'P 1'
_space_group_IT_number 1
_space_group_name_Hall 'P 1'
loop_
_atom_site_label
_atom_site_fract_x
_atom_site_fract_y
_atom_site_fract_z
La1 0.0000 0.0000 0.0000
Si1 0.6667 0.3333 0.5000
Te1 0.3333 0.6667 0.5000
# - magnetization (μB per atom) = 0.00
# - Fermi-level density of states (states/eV per cell) = 1.9

=====

Model three:
# LaSiTe GGA-PBE relaxed
data_LaSiTe
_cell_length_a 5.0051
_cell_length_b 5.0051
_cell_length_c 5.0051
_cell_angle_alpha 60.00
_cell_angle_beta 60.00
_cell_angle_gamma 60.00
_space_group_name_H-M_alt 'P 1'
_space_group_IT_number 1
_space_group_name_Hall 'P 1'
loop_
_atom_site_label
_atom_site_fract_x
_atom_site_fract_y
_atom_site_fract_z
La1 0.0000 0.0000 0.0000
Si1 0.7500 0.7500 0.7500
Te1 0.5000 0.5000 0.5000
# - magnetization (μB per atom) = 0.00
# - Fermi-level density of states (states/eV per cell) = 3.9

=====

Model four:
# LaSiTe GGA-PBE relaxed
data_LaSiTe
_cell_length_a 5.8598
_cell_length_b 5.8598
_cell_length_c 5.8598
_cell_angle_alpha 139.92
_cell_angle_beta 136.13
_cell_angle_gamma 60.92
_space_group_name_H-M_alt 'P 1'
_space_group_IT_number 1
_space_group_name_Hall 'P 1'
loop_
_atom_site_label
_atom_site_fract_x
_atom_site_fract_y
_atom_site_fract_z
La1 0.0000 0.0000 0.0000
Si1 0.4029 0.4029 0.0000
Te1 0.6633 0.6633 0.0000
# - magnetization (μB per atom) = 0.00
# - Fermi-level density of states (states/eV per cell) = 2.1

=====

In meV per atom, relative to the most stable structure: model one 463; model two 43; model three 240; model four 0.